Density functional theory data (PBE with a Hubbard U) for crystalline Tl2VHF at its relaxed geometry. Values from VASP.

The structure in Quantum ESPRESSO input format:
```
&SYSTEM
  ibrav = 0, nat = 5, ntyp = 4
/
ATOMIC_SPECIES
Tl 204.38 Tl.upf
F 19.00 F.upf
V 50.94 V.upf
H 1.01 H.upf
CELL_PARAMETERS angstrom
-3.622 -3.661 -1.160
0.074 -1.138 3.362
-3.839 3.406 1.238
ATOMIC_POSITIONS angstrom
Tl -1.811 -1.830 -0.580
Tl -1.919 1.703 0.619
F -3.694 -0.697 1.720
V 0.037 -0.569 1.681
H 0.000 0.000 0.000
```

Calculated values
The calculation puts the raw total energy at -3.52 eV/atom. Its crystal system is tetragonal.